Pr2TeSe after structural relaxation. Source: Alexandria, functional PBE-GGA.

```
Pr2TeSe
1.0
3.801 0.000 0.000
0.000 3.801 0.000
0.000 0.000 7.612
Pr Te Se
2 1 1
direct
0.000 0.000 0.759
0.000 0.000 0.241
0.500 0.500 0.500
0.500 0.500 0.000
```

**SG**: P4/mmm
**Energy above the most stable polymorph in this dataset**: 196.2 meV/atom

***

Pr2TeSe after structural relaxation. Source: Alexandria, functional PBE-GGA.

```
Pr2TeSe
1.0
-0.801 3.303 2.618
1.289 -0.143 4.090
6.763 4.216 0.266
Pr Te Se
2 1 1
direct
0.073 0.073 0.781
0.260 0.260 0.221
0.499 0.499 0.502
0.668 0.668 0.996
```

**SG**: R3m
**Energy above the most stable polymorph in this dataset**: 0.0 meV/atom

***

Pr2TeSe after structural relaxation. Source: Alexandria, functional PBE-GGA.

```
Pr2TeSe
1.0
-0.089 3.446 -4.130
1.071 -1.738 -4.977
-3.937 -0.283 -3.655
Pr Te Se
2 1 1
direct
0.250 0.250 0.250
0.750 0.750 0.750
0.000 0.000 0.000
0.500 0.500 0.500
```

**SG**: Fm-3m
**Energy above the most stable polymorph in this dataset**: 201.9 meV/atom

***

Pr6TeSe4 after structural relaxation. Source: Alexandria, functional PBE-GGA.

```
Pr6TeSe4
1.0
-1.683 2.468 -2.961
-3.009 -6.628 -0.827
-15.938 5.531 13.668
Pr Te Se
12 2 8
direct
0.500 0.000 0.000
0.500 0.000 0.500
0.055 0.110 0.336
0.945 0.890 0.664
0.945 0.890 0.836
0.055 0.110 0.164
0.772 0.543 0.405
0.228 0.457 0.595
0.228 0.457 0.905
0.772 0.543 0.095
0.347 0.695 0.250
0.653 0.305 0.750
0.677 0.354 0.250
0.323 0.646 0.750
0.857 0.713 0.537
0.417 0.834 0.124
0.143 0.287 0.463
0.583 0.166 0.876
0.857 0.713 0.963
0.143 0.287 0.037
0.583 0.166 0.624
0.417 0.834 0.376
```

**SG**: Cmcm

***

Pr3TeSe3 after structural relaxation. Source: Alexandria, functional PBE-GGA.

```
Pr3TeSe3
1.0
-1.050 4.956 7.592
-5.646 -2.863 6.574
2.307 -2.307 7.311
Pr Te Se
6 2 6
direct
0.281 0.553 0.241
0.924 0.281 0.241
0.553 0.924 0.241
0.447 0.076 0.759
0.076 0.719 0.759
0.719 0.447 0.759
0.334 0.334 0.998
0.666 0.666 0.002
0.374 0.799 0.731
0.799 0.096 0.731
0.096 0.374 0.731
0.904 0.626 0.269
0.201 0.904 0.269
0.626 0.201 0.269
```

**SG**: R-3

***

PrTeSe after structural relaxation. Source: Alexandria, functional PBE-GGA.

```
PrTeSe
1.0
-1.264 -0.910 -4.107
-0.213 -4.273 1.013
-16.948 1.979 4.777
Se Te Pr
4 4 4
direct
0.249 0.750 0.817
0.251 0.750 0.317
0.751 0.250 0.183
0.749 0.250 0.683
0.250 0.250 0.500
0.250 0.250 0.000
0.750 0.750 0.500
0.750 0.750 0.000
0.249 0.750 0.647
0.251 0.750 0.147
0.751 0.250 0.353
0.749 0.250 0.853
```

**SG**: Pnma
**Energy above the most stable polymorph in this dataset**: 7.8 meV/atom

***

Pr2TeSe after structural relaxation. Source: Alexandria, functional PBE-GGA.

```
Pr2TeSe
1.0
4.390 0.000 0.000
2.195 3.802 0.000
2.195 1.267 7.241
Pr Te Se
2 1 1
direct
0.739 0.739 0.782
0.261 0.261 0.218
0.500 0.500 0.500
0.000 0.000 0.000
```

**SG**: R-3m
**Energy above the most stable polymorph in this dataset**: 9.3 meV/atom

***

Pr5Te4Se after structural relaxation. Source: Alexandria, functional PBE-GGA.

```
Pr5Te4Se
1.0
-0.670 -4.367 -0.517
2.407 -0.802 3.653
-14.217 3.565 7.441
Pr Te Se
5 4 1
direct
0.090 0.090 0.180
0.500 0.500 0.000
0.910 0.910 0.820
0.292 0.292 0.583
0.708 0.708 0.417
0.398 0.398 0.796
0.808 0.808 0.615
0.192 0.192 0.385
0.602 0.602 0.204
0.000 0.000 0.000
```

**SG**: I4/mmm

***

PrTeSe after structural relaxation. Source: Alexandria, functional PBE-GGA.

```
PrTeSe
1.0
-2.003 2.333 -3.105
-3.873 -1.458 1.403
2.347 6.542 6.475
Pr Te Se
2 2 2
direct
0.350 0.350 0.700
0.650 0.650 0.300
0.000 0.500 0.000
0.500 0.000 0.000
0.184 0.184 0.367
0.816 0.816 0.633
```

**SG**: I4/mmm
**Energy above the most stable polymorph in this dataset**: 33.4 meV/atom

***

Pr2TeSe after structural relaxation. Source: Alexandria, functional PBE-GGA.

```
Pr2TeSe
1.0
4.346 0.000 0.000
0.000 6.237 0.000
0.000 0.000 8.922
Pr Te Se
4 2 2
direct
0.000 0.000 0.850
0.000 0.000 0.389
0.500 0.500 0.611
0.500 0.500 0.150
0.000 0.500 0.879
0.500 0.000 0.121
0.500 0.000 0.620
0.000 0.500 0.380
```

**SG**: Pmmn
**Energy above the most stable polymorph in this dataset**: 39.5 meV/atom

***

Pr3TeSe2 after structural relaxation. Source: Alexandria, functional PBE-GGA.

```
Pr3TeSe2
1.0
-1.060 -7.451 0.720
3.891 0.087 -6.474
3.465 1.407 6.563
Pr Te Se
6 2 4
direct
0.994 0.132 0.318
0.494 0.318 0.132
0.000 0.500 0.000
0.006 0.868 0.682
0.500 0.000 0.500
0.506 0.682 0.868
0.250 0.575 0.425
0.750 0.425 0.575
0.250 0.917 0.083
0.250 0.259 0.741
0.750 0.083 0.917
0.750 0.741 0.259
```

**SG**: C2/c
**Energy above the most stable polymorph in this dataset**: 0.0 meV/atom

***

Pr3TeSe6 after structural relaxation. Source: Alexandria, functional PBE-GGA.

```
Pr3TeSe6
1.0
-2.054 1.357 6.776
-0.075 -9.048 1.789
8.630 2.470 2.121
Pr Te Se
6 2 12
direct
0.495 0.914 0.712
0.995 0.712 0.914
0.379 0.410 0.590
0.879 0.590 0.410
0.995 0.086 0.288
0.495 0.288 0.086
0.970 0.166 0.834
0.470 0.834 0.166
0.185 0.701 0.629
0.685 0.629 0.701
0.204 0.425 0.896
0.704 0.896 0.425
0.239 0.009 0.991
0.629 0.234 0.766
0.129 0.766 0.234
0.739 0.991 0.009
0.204 0.104 0.575
0.704 0.575 0.104
0.185 0.371 0.299
0.685 0.299 0.371
```

**SG**: Cmc2_1

***

Final energy: -22.1 -22.8 -22.0 -126.3 -80.1 -63.1 -22.8 -55.1 -31.4 -45.4 -69.3 -103.5 (eV per cell)